No. 1
Density functional theory data (GGA-PBE) for a relaxed CsHf2ReH crystal.

Cell lengths 4.3782, 4.8474, 4.3782 Å; angles 90.00, 90.00, 90.00 degrees
Fractional positions:
Cs: 0.0000 0.5000 0.0000
Re: 0.5000 0.5000 0.5000
Hf: 0.0000 0.0000 0.5000
Hf: 0.5000 0.0000 0.0000
H: 0.0000 0.0000 0.0000

## Properties
DOS(E_F): 5.43 states/eV per cell
Crystal system: tetragonal
Space-group type: P4/mmm
M_tot: 0.000 Bohr magnetons per cell
VASP energy: -6.08 eV/atom

***

No. 2
Density functional theory data (GGA-PBE) for a relaxed Cs2HfH2Se4 crystal.

Cell lengths 3.6747, 7.7284, 9.4652 Å; angles 112.53, 101.19, 90.00 degrees
Fractional positions:
Cs: 0.1440 0.6374 0.2880
Cs: 0.8560 0.3626 0.7120
Hf: 0.0000 0.0000 0.0000
H: 0.6726 0.1153 0.3451
H: 0.3274 0.8847 0.6549
Se: 0.1633 0.1571 0.3266
Se: 0.8367 0.8429 0.6734
Se: 0.4983 0.7544 0.9966
Se: 0.5017 0.2456 0.0034

## Properties
DOS(E_F): 0.06 states/eV per cell
Crystal system: monoclinic
Space-group type: C2/m
M_tot: 0.000 Bohr magnetons per cell
VASP energy: -4.41 eV/atom

***

No. 3
Density functional theory data (GGA-PBE) for a relaxed CsHf2SnH crystal.

Cell lengths 4.7534, 4.8262, 4.7534 Å; angles 90.00, 90.00, 90.00 degrees
Fractional positions:
Cs: 0.0000 0.5000 0.0000
H: 0.0000 0.0000 0.0000
Hf: 0.0000 0.0000 0.5000
Hf: 0.5000 0.0000 0.0000
Sn: 0.5000 0.5000 0.5000

## Properties
DOS(E_F): 1.22 states/eV per cell
Crystal system: tetragonal
Space-group type: P4/mmm
M_tot: 0.000 Bohr magnetons per cell
VASP energy: -4.97 eV/atom

***

No. 4
Density functional theory data (GGA-PBE) for a relaxed Cs2HgH2 crystal.

Cell lengths 8.6883, 8.6883, 4.0132 Å; angles 90.00, 90.00, 90.00 degrees
Fractional positions:
Cs: 0.1533 0.6533 0.5000
Cs: 0.6533 0.8467 0.5000
Cs: 0.8467 0.3467 0.5000
Cs: 0.3467 0.1533 0.5000
H: 0.3528 0.8528 0.0000
H: 0.8528 0.6472 0.0000
H: 0.6472 0.1472 0.0000
H: 0.1472 0.3528 0.0000
Hg: 0.0000 0.0000 0.0000
Hg: 0.5000 0.5000 0.0000

## Properties
DOS(E_F): 0.00 states/eV per cell
Crystal system: tetragonal
Offset from the most stable computed form: 0 meV per atom
Space-group type: P4/mbm
M_tot: 0.000 Bohr magnetons per cell

***

No. 5
Density functional theory data (GGA-PBE) for a relaxed Cs2HgH crystal.

Cell lengths 4.6183, 4.6183, 9.4798 Å; angles 75.91, 75.91, 60.00 degrees
Fractional positions:
Cs: 0.0655 0.0655 0.8035
Cs: 0.2678 0.2678 0.1966
Hg: 0.5000 0.5000 0.4999
H: 0.6667 0.6667 0.0000

## Properties
DOS(E_F): 2.88 states/eV per cell
Crystal system: trigonal
Offset from the most stable computed form: 40 meV per atom
Space-group type: R3m
M_tot: 0.001 Bohr magnetons per cell

***

No. 6
Density functional theory data (GGA-PBE) for a relaxed CsHg5H6 crystal.

Cell lengths 7.8447, 8.0962, 7.7850 Å; angles 117.90, 106.70, 120.70 degrees
Fractional positions:
Cs: 0.0000 0.0000 0.0000
Hg: 0.2535 0.7271 0.6190
Hg: 0.7937 0.7169 0.3307
Hg: 0.0000 0.5000 0.0000
Hg: 0.2063 0.2831 0.6693
Hg: 0.7465 0.2729 0.3810
H: 0.1761 0.4384 0.0137
H: 0.4071 0.9791 0.2007
H: 0.5127 0.3580 0.1243
H: 0.4873 0.6420 0.8757
H: 0.5929 0.0209 0.7993
H: 0.8239 0.5616 0.9863

## Properties
DOS(E_F): 1.78 states/eV per cell
Crystal system: triclinic
Space-group type: P-1
M_tot: 0.000 Bohr magnetons per cell
VASP energy: -1.67 eV/atom

***

No. 7
Density functional theory data (GGA-PBE) for a relaxed CsHgH2 crystal.

Cell lengths 4.9289, 4.9289, 6.3289 Å; angles 67.08, 67.08, 60.00 degrees
Fractional positions:
Cs: 0.5000 0.5000 0.5000
H: 0.0984 0.0984 0.7047
H: 0.9016 0.9016 0.2953
Hg: 0.0000 0.0000 0.0000

## Properties
DOS(E_F): 1.99 states/eV per cell
Crystal system: trigonal
Offset from the most stable computed form: 142 meV per atom
Space-group type: R-3m
M_tot: 0.000 Bohr magnetons per cell

***

No. 8
Density functional theory data (GGA-PBE) for a relaxed Cs2HgH2 crystal.

Cell lengths 9.2529, 9.2529, 3.8484 Å; angles 90.00, 90.00, 90.00 degrees
Fractional positions:
Cs: 0.3565 0.8565 0.0000
Cs: 0.8565 0.6435 0.0000
Cs: 0.6435 0.1435 0.0000
Cs: 0.1435 0.3565 0.0000
H: 0.1462 0.6462 0.5000
H: 0.6462 0.8538 0.5000
H: 0.8538 0.3538 0.5000
H: 0.3538 0.1462 0.5000
Hg: 0.0000 0.0000 0.0000
Hg: 0.5000 0.5000 0.0000

## Properties
DOS(E_F): 0.00 states/eV per cell
Crystal system: tetragonal
Offset from the most stable computed form: 68 meV per atom
Space-group type: P4/mbm
M_tot: 0.000 Bohr magnetons per cell

***

No. 9
Density functional theory data (GGA-PBE) for a relaxed Cs2HgH6 crystal.

Cell lengths 5.8162, 7.4596, 7.4596 Å; angles 59.42, 60.33, 60.33 degrees
Fractional positions:
Cs: 0.2055 0.2576 0.2576
Cs: 0.7669 0.6996 0.6996
Hg: 0.9735 0.9311 0.9311
H: 0.7487 0.8789 0.2624
H: 0.3350 0.2270 0.7437
H: 0.3350 0.7437 0.2270
H: 0.4434 0.2564 0.7433
H: 0.4434 0.7433 0.2564
H: 0.7487 0.2624 0.8789

## Properties
Crystal system: monoclinic
Offset from the most stable computed form: 0 meV per atom
Space-group type: Cm
M_tot: 0.000 Bohr magnetons per cell

***

No. 10
Density functional theory data (GGA-PBE) for a relaxed Cs2HgH10 crystal.

Cell lengths 5.0585, 10.6953, 10.4114 Å; angles 90.00, 90.00, 90.00 degrees
Fractional positions:
Cs: 0.5000 0.3560 0.7354
Cs: 0.5000 0.6440 0.2646
Cs: 0.5000 0.8560 0.7646
Cs: 0.5000 0.1440 0.2354
Hg: 0.0000 0.5000 0.5000
Hg: 0.0000 0.0000 0.0000
H: 0.0000 0.0216 0.4701
H: 0.0000 0.9784 0.5299
H: 0.0000 0.5216 0.0299
H: 0.0000 0.4784 0.9701
H: 0.0000 0.2109 0.6179
H: 0.0000 0.7891 0.3821
H: 0.4255 0.3886 0.0625
H: 0.4255 0.6114 0.9375
H: 0.5745 0.8886 0.4375
H: 0.5745 0.1114 0.5625
H: 0.5745 0.6114 0.9375
H: 0.5745 0.3886 0.0625
H: 0.4255 0.1114 0.5625
H: 0.4255 0.8886 0.4375
H: 0.0000 0.8320 0.3219
H: 0.0000 0.1680 0.6781
H: 0.0000 0.3320 0.1781
H: 0.0000 0.6680 0.8219
H: 0.0000 0.2891 0.1179
H: 0.0000 0.7109 0.8821

## Properties
DOS(E_F): 8.75 states/eV per cell
Crystal system: orthorhombic
Space-group type: Pbam
M_tot: 0.000 Bohr magnetons per cell
VASP energy: -2.75 eV/atom

***

No. 11
Density functional theory data (GGA-PBE) for a relaxed CsHg3H2 crystal.

Cell lengths 6.4716, 6.4716, 8.4074 Å; angles 101.16, 101.16, 107.26 degrees
Fractional positions:
Cs: 0.2148 0.7852 0.2500
Cs: 0.7852 0.2148 0.7500
Hg: 0.2852 0.4384 0.5620
Hg: 0.5616 0.7148 0.9380
Hg: 0.7148 0.5616 0.4380
Hg: 0.4384 0.2852 0.0620
Hg: 0.8503 0.1497 0.2500
Hg: 0.1497 0.8503 0.7500
H: 0.0005 0.2657 0.1252
H: 0.7343 0.9995 0.3748
H: 0.9995 0.7343 0.8748
H: 0.2657 0.0005 0.6252

## Properties
DOS(E_F): 5.17 states/eV per cell
Crystal system: monoclinic
Space-group type: C2/c
M_tot: 0.000 Bohr magnetons per cell
VASP energy: -1.42 eV/atom

***

No. 12
Density functional theory data (GGA-PBE) for a relaxed Cs4HgH12 crystal.

Cell lengths 8.3918, 8.3918, 8.3918 Å; angles 109.47, 109.47, 109.47 degrees
Fractional positions:
Cs: 0.0000 0.5000 0.0000
Cs: 0.0000 0.0000 0.5000
Cs: 0.5000 0.0000 0.0000
Cs: 0.5000 0.5000 0.5000
Hg: 0.0000 0.0000 0.0000
H: 0.6663 0.1262 0.5401
H: 0.8738 0.4599 0.3337
H: 0.4599 0.5860 0.1262
H: 0.1262 0.4599 0.5860
H: 0.5401 0.4140 0.8738
H: 0.1262 0.5401 0.6663
H: 0.5401 0.6663 0.1262
H: 0.4599 0.3337 0.8738
H: 0.8738 0.5401 0.4140
H: 0.5860 0.1262 0.4599
H: 0.4140 0.8738 0.5401
H: 0.3337 0.8738 0.4599

## Properties
DOS(E_F): 8.02 states/eV per cell
Crystal system: cubic
Space-group type: Im-3
M_tot: 0.000 Bohr magnetons per cell
VASP energy: -2.57 eV/atom

***

No. 13
Density functional theory data (GGA-PBE) for a relaxed Cs2Hg2H crystal.

Cell lengths 4.3458, 4.3458, 10.7084 Å; angles 78.29, 78.29, 90.00 degrees
Fractional positions:
Cs: 0.4071 0.4071 0.1858
Cs: 0.5929 0.5929 0.8142
H: 0.0000 0.0000 0.0000
Hg: 0.7500 0.2500 0.5000
Hg: 0.2500 0.7500 0.5000

## Properties
DOS(E_F): 1.81 states/eV per cell
Crystal system: tetragonal
Offset from the most stable computed form: 0 meV per atom
Space-group type: I4/mmm
M_tot: 0.000 Bohr magnetons per cell

***

No. 14
Density functional theory data (GGA-PBE) for a relaxed Cs2HgH2 crystal.

Cell lengths 5.5547, 5.5547, 7.3752 Å; angles 67.88, 67.88, 90.00 degrees
Fractional positions:
Cs: 0.3332 0.3332 0.3335
Cs: 0.6668 0.6668 0.6665
H: 0.7500 0.2500 0.5000
H: 0.2500 0.7500 0.5000
Hg: 0.0000 0.0000 0.0000

## Properties
DOS(E_F): 0.00 states/eV per cell
Crystal system: tetragonal
Offset from the most stable computed form: 44 meV per atom
Space-group type: I4/mmm
M_tot: 0.000 Bohr magnetons per cell

***

No. 15
Density functional theory data (GGA-PBE) for a relaxed Cs2HgH8 crystal.

Cell lengths 4.9482, 6.0378, 8.3299 Å; angles 111.22, 107.25, 90.09 degrees
Fractional positions:
Cs: 0.6851 0.6851 0.3701
Cs: 0.3150 0.3150 0.6299
Hg: 0.5000 0.0000 0.0000
H: 0.0356 0.1133 0.2266
H: 0.8091 0.8868 0.7734
H: 0.5018 0.2782 0.0000
H: 0.6895 0.1895 0.3790
H: 0.3105 0.8105 0.6210
H: 0.4982 0.7218 0.0000
H: 0.1909 0.1132 0.2266
H: 0.9644 0.8867 0.7734

## Properties
DOS(E_F): 0.00 states/eV per cell
Crystal system: monoclinic
Space-group type: C2/m
M_tot: 0.000 Bohr magnetons per cell
VASP energy: -2.61 eV/atom

***

No. 16
Density functional theory data (GGA-PBE) for a relaxed Cs3Hg3H8 crystal.

Cell lengths 6.2572, 10.6669, 10.6669 Å; angles 42.45, 46.93, 46.93 degrees
Fractional positions:
Cs: 0.5000 0.5000 0.5000
Cs: 0.7451 0.2545 0.2545
Cs: 0.2549 0.7455 0.7455
Hg: 0.5000 0.0000 0.0000
Hg: 0.0000 0.7865 0.2135
Hg: 0.0000 0.2135 0.7865
H: 0.6179 0.0845 0.7294
H: 0.3821 0.9155 0.2706
H: 0.6179 0.7294 0.0845
H: 0.3821 0.2706 0.9155
H: 0.8524 0.8655 0.3586
H: 0.1476 0.1345 0.6414
H: 0.8524 0.3586 0.8655
H: 0.1476 0.6414 0.1345

## Properties
DOS(E_F): 2.96 states/eV per cell
Crystal system: monoclinic
Space-group type: C2/m
M_tot: 0.000 Bohr magnetons per cell
VASP energy: -2.03 eV/atom

***

No. 17
Density functional theory data (GGA-PBE) for a relaxed Cs2HgH crystal.

Cell lengths 8.9940, 8.9940, 7.8749 Å; angles 55.18, 55.18, 90.00 degrees
Fractional positions:
Cs: 0.5351 0.1250 0.2500
Cs: 0.2149 0.6250 0.2500
Cs: 0.3750 0.4649 0.7500
Cs: 0.8750 0.7851 0.7500
H: 0.5000 0.5000 0.0000
H: 0.2500 0.7500 0.5000
Hg: 0.0000 0.0000 0.0000
Hg: 0.7500 0.2500 0.5000

## Properties
DOS(E_F): 7.77 states/eV per cell
Crystal system: tetragonal
Offset from the most stable computed form: 67 meV per atom
Space-group type: I-42d
M_tot: 0.000 Bohr magnetons per cell

***

No. 18
Density functional theory data (GGA-PBE) for a relaxed CsHg3H4 crystal.

Cell lengths 7.6543, 5.8925, 6.5773 Å; angles 116.63, 125.58, 90.00 degrees
Fractional positions:
Cs: 0.5000 0.0000 0.0000
Hg: 0.0000 0.5000 0.0000
Hg: 0.8506 0.8504 0.7011
Hg: 0.1494 0.1496 0.2989
H: 0.8137 0.3130 0.6274
H: 0.1863 0.6870 0.3726
H: 0.3404 0.3408 0.6808
H: 0.6596 0.6592 0.3192

## Properties
DOS(E_F): 2.06 states/eV per cell
Crystal system: orthorhombic
Space-group type: Immm
M_tot: 0.000 Bohr magnetons per cell
VASP energy: -1.73 eV/atom

***

No. 19
Density functional theory data (GGA-PBE) for a relaxed CsHg2H2 crystal.

Cell lengths 4.6319, 4.6319, 6.1205 Å; angles 67.77, 67.77, 90.00 degrees
Fractional positions:
Cs: 0.0000 0.0000 0.0000
H: 0.7500 0.2500 0.5000
H: 0.2500 0.7500 0.5000
Hg: 0.3402 0.3402 0.3195
Hg: 0.6598 0.6598 0.6805

## Properties
DOS(E_F): 1.14 states/eV per cell
Crystal system: tetragonal
Offset from the most stable computed form: 160 meV per atom
Space-group type: I4/mmm
M_tot: 0.000 Bohr magnetons per cell

***

No. 20
Density functional theory data (GGA-PBE) for a relaxed Cs2Hg3H8 crystal.

Cell lengths 8.3577, 6.1213, 6.9139 Å; angles 63.32, 92.15, 122.16 degrees
Fractional positions:
Cs: 0.7227 0.8934 0.5919
Cs: 0.2773 0.1066 0.4081
Hg: 0.5000 0.0000 0.0000
Hg: 0.9316 0.6683 0.1054
Hg: 0.0684 0.3317 0.8946
H: 0.0964 0.6245 0.2465
H: 0.9036 0.3755 0.7535
H: 0.0625 0.0244 0.8083
H: 0.9375 0.9756 0.1917
H: 0.3106 0.5446 0.9052
H: 0.4776 0.7719 0.2652
H: 0.5224 0.2281 0.7348
H: 0.6894 0.4554 0.0948

## Properties
DOS(E_F): 0.00 states/eV per cell
Crystal system: triclinic
Space-group type: P-1
M_tot: 0.000 Bohr magnetons per cell
VASP energy: -2.20 eV/atom

***

Taking the records one at a time from the top gives V values of 93 243 109 303 168 271 119 329 229 563 318 455 194 193 220 327 376 201 111 258 Å³ per cell.